[1]
This record from the Alexandria database describes a relaxed Pm2HRuO6 crystal. The functional is PBE-GGA.

```
Pm2HRuO6
1.0
-1.481 2.229 4.674
2.424 -3.827 2.593
3.026 2.965 -3.707
O H Pm Ru
6 1 2 1
Direct
0.673 0.269 0.537
0.799 0.812 0.110
0.327 0.731 0.463
0.799 0.298 0.110
0.201 0.188 0.890
0.201 0.702 0.890
0.500 0.000 0.000
0.235 0.257 0.513
0.765 0.743 0.487
0.000 0.500 0.000
```

Symmetry: C2/m (12)


[2]
This record from the Alexandria database describes a relaxed Zr4ReTe crystal. The functional is PBE-GGA.

```
Zr4ReTe
1.0
-0.961 -4.178 -3.668
-5.221 -0.909 -1.936
-1.266 1.193 -5.367
Te Zr Re
1 4 1
Direct
0.000 0.000 0.000
0.376 0.871 0.376
0.376 0.376 0.871
0.376 0.376 0.376
0.871 0.376 0.376
0.750 0.750 0.750
```

Raw formation energy: 0.485 eV/atom
Symmetry: F-43m (216)


[3]
This record from the Alexandria database describes a relaxed CdGaTe crystal. The functional is PBE-GGA.

```
CdGaTe
1.0
-1.541 -2.045 3.200
5.430 0.681 1.746
-2.197 6.657 1.601
Te Cd Ga
2 2 2
Direct
0.309 0.768 0.164
0.691 0.232 0.836
0.540 0.287 0.250
0.460 0.713 0.750
0.900 0.762 0.441
0.100 0.238 0.559
```

Raw formation energy: -0.084 eV/atom
Symmetry: P-1 (2)


[4]
This record from the Alexandria database describes a relaxed CaAc5Hg6 crystal. The functional is PBE-GGA.

```
CaAc5Hg6
1.0
5.362 -0.032 1.787
0.043 8.032 0.014
-0.015 -0.016 8.983
Ac Ca Hg
5 1 6
Direct
0.669 0.500 0.662
0.331 0.500 0.338
0.336 0.000 0.327
0.000 0.500 0.000
0.664 0.000 0.673
0.000 0.000 0.000
0.500 0.757 0.000
0.162 0.755 0.675
0.838 0.755 0.325
0.162 0.245 0.675
0.500 0.243 0.000
0.838 0.245 0.325
```

Symmetry: Cmmm (65)
Formation energy: -494 meV per atom


[5]
This record from the Alexandria database describes a relaxed BaFeSb2 crystal. The functional is PBE-GGA.

```
BaFeSb2
1.0
0.000 3.725 3.725
3.725 0.000 3.725
3.725 3.725 0.000
Sb Fe Ba
2 1 1
Direct
0.750 0.750 0.750
0.250 0.250 0.250
0.000 0.000 0.000
0.500 0.500 0.500
```

Raw formation energy: 0.400 eV/atom
Symmetry: Fm-3m (225)


[6]
This record from the Alexandria database describes a relaxed GdZrRuPt crystal. The functional is PBE-GGA.

```
GdZrRuPt
1.0
-2.386 2.887 -3.002
0.944 -0.122 -4.704
-3.220 -1.840 -3.047
Pt Zr Ru Gd
1 1 1 1
Direct
0.750 0.750 0.750
0.500 0.500 0.500
0.250 0.250 0.250
0.000 0.000 0.000
```

Symmetry: F-43m (216)
Formation energy: -674 meV per atom


[7]
This record from the Alexandria database describes a relaxed MoAu2Br crystal. The functional is PBE-GGA.

```
MoAu2Br
1.0
6.607 0.014 -0.004
4.333 4.987 0.004
-4.990 -3.551 2.478
Au Br Mo
2 1 1
Direct
0.453 0.453 0.000
0.047 0.047 0.000
0.750 0.250 0.500
0.250 0.750 0.500
```

Raw formation energy: 0.511 eV/atom
Symmetry: Immm (71)


[8]
This record from the Alexandria database describes a relaxed CdCuOsC2 crystal. The functional is PBE-GGA.

```
CdCuOsC2
1.0
3.902 0.000 0.000
0.000 5.519 0.000
0.000 0.000 3.902
C Cd Os Cu
2 1 1 1
Direct
0.000 0.000 0.500
0.500 0.000 0.000
0.000 0.500 0.000
0.000 0.000 0.000
0.500 0.500 0.500
```

Symmetry: P4/mmm (123)
Formation energy: 1359 meV per atom


[9]
This record from the Alexandria database describes a relaxed Rb2PIrBr6 crystal. The functional is PBE-GGA.

```
Rb2PIrBr6
1.0
7.450 0.000 0.000
0.000 7.450 0.000
3.725 3.725 5.319
Ir Br Rb P
1 6 2 1
Direct
0.000 0.000 0.000
0.245 0.245 0.000
0.757 0.757 0.486
0.755 0.755 0.000
0.243 0.243 0.514
0.245 0.755 0.000
0.755 0.245 0.000
0.250 0.750 0.500
0.750 0.250 0.500
0.500 0.500 0.000
```

Raw formation energy: -0.613 eV/atom
Symmetry: I4/mmm (139)


[10]
This record from the Alexandria database describes a relaxed CaLa2PmS4 crystal. The functional is PBE-GGA.

```
CaLa2PmS4
1.0
4.075 0.000 0.000
0.000 7.102 0.141
0.000 -2.464 6.659
S Ca La Pm
4 1 2 1
Direct
0.000 0.250 0.760
0.500 0.756 0.761
0.000 0.750 0.240
0.500 0.244 0.239
0.000 0.000 0.000
0.000 0.500 0.500
0.500 0.000 0.500
0.500 0.500 0.000
```

Raw formation energy: -2.104 eV/atom
Symmetry: P2/m (10)


[11]
This record from the Alexandria database describes a relaxed Dy12Ge3C5 crystal. The functional is PBE-GGA.

```
Dy12Ge3C5
1.0
13.447 0.000 0.000
-4.482 12.678 0.000
-4.482 -6.339 10.979
Dy C Ge
48 20 12
Direct
0.819 0.914 0.295
0.319 0.795 0.414
0.586 0.880 0.405
0.414 0.120 0.595
0.705 0.586 0.181
0.914 0.819 0.795
0.295 0.414 0.819
0.586 0.705 0.681
0.475 0.795 0.880
0.914 0.095 0.620
0.095 0.181 0.475
0.681 0.205 0.586
0.205 0.681 0.086
0.595 0.975 0.681
0.205 0.525 0.620
0.086 0.905 0.380
0.405 0.025 0.319
0.120 0.414 0.095
0.795 0.475 0.380
0.181 0.095 0.975
0.525 0.205 0.120
0.620 0.595 0.914
0.681 0.475 0.595
0.475 0.681 0.095
0.705 0.120 0.025
0.595 0.620 0.414
0.181 0.086 0.705
0.819 0.905 0.025
0.975 0.380 0.295
0.025 0.405 0.819
0.905 0.819 0.525
0.295 0.880 0.975
0.380 0.405 0.086
0.405 0.380 0.586
0.414 0.295 0.319
0.620 0.025 0.205
0.086 0.181 0.205
0.975 0.595 0.181
0.905 0.086 0.880
0.880 0.586 0.905
0.319 0.525 0.405
0.025 0.620 0.705
0.120 0.705 0.525
0.095 0.914 0.120
0.880 0.295 0.475
0.525 0.319 0.905
0.380 0.975 0.795
0.795 0.319 0.914
0.250 0.375 0.625
0.000 0.500 0.500
0.750 0.125 0.875
0.250 0.875 0.125
0.625 0.875 0.250
0.500 0.500 0.000
0.625 0.750 0.875
0.000 0.500 0.000
0.125 0.750 0.375
0.500 0.000 0.000
0.500 0.500 0.500
0.875 0.250 0.625
0.000 0.000 0.500
0.875 0.625 0.750
0.750 0.625 0.375
0.000 0.000 0.000
0.500 0.000 0.500
0.375 0.250 0.125
0.125 0.375 0.250
0.375 0.125 0.750
0.125 0.875 0.750
0.375 0.750 0.625
0.375 0.625 0.250
0.875 0.125 0.250
0.250 0.125 0.375
0.125 0.250 0.875
0.750 0.875 0.625
0.750 0.375 0.125
0.625 0.250 0.375
0.625 0.375 0.750
0.250 0.625 0.875
0.875 0.750 0.125
```

Symmetry: Ia-3d (230)
Formation energy: -362 meV per atom


[12]
This record from the Alexandria database describes a relaxed Th2InCu crystal. The functional is PBE-GGA.

```
Th2InCu
1.0
5.666 0.000 0.000
0.000 6.155 0.245
0.000 -2.009 5.823
In Cu Th
2 2 4
Direct
0.250 0.807 0.807
0.750 0.193 0.193
0.000 0.500 0.500
0.500 0.500 0.500
0.750 0.032 0.639
0.250 0.361 0.968
0.250 0.968 0.361
0.750 0.639 0.032
```

Symmetry: Cmcm (63)
Formation energy: -50 meV per atom


What are the D(E_F) values for these records? In order: 0.563; 7.774; 1.484; 11.426; 3.491; 2.218; 3.183; 2.093; 5.333; 3.651; 41.779; 7.831 states/eV per cell.
What are the final energy values for these records? In order: -70.4; -46.9; -14.7; -30.3; -17.0; -40.6; -17.0; -27.9; -32.4; -50.0; -489.8; -43.7 eV per cell.